Record 1
DFT (PBEsol) results for ZnCu2Se after structural relaxation.

Geometry as POSCAR:
```
ZnCu2Se
1.0
2.691 0.000 0.000
0.000 3.554 0.000
0.000 0.000 6.146
Zn Cu Se
1 2 1
direct
0.000 0.000 0.000
0.000 0.000 0.399
0.500 0.500 0.208
0.000 0.500 0.677
```

Formation energy (no corrections) (eV/f.u.): 0.19
Space group: Pmm2, No. 25
DOS at the Fermi energy (states/eV per cell): 1.2
E above lowest polymorph (eV per atom): 0.0000
VASP energy (eV per atom): -3.48

***

Record 2
DFT (PBEsol) results for In2HgSe after structural relaxation.

Geometry as POSCAR:
```
In2HgSe
1.0
1.966 1.135 7.442
-1.966 1.135 7.442
0.000 -2.270 7.442
In Hg Se
2 1 1
direct
0.247 0.247 0.247
0.753 0.753 0.753
0.000 0.000 0.000
0.500 0.500 0.500
```

Formation energy (no corrections) (eV/f.u.): -1.05
Space group: R-3m, No. 166
DOS at the Fermi energy (states/eV per cell): 1.1
E above lowest polymorph (eV per atom): 0.0000
VASP energy (eV per atom): -2.86

***

Record 3
DFT (PBEsol) results for Al2CoBr after structural relaxation.

Geometry as POSCAR:
```
Al2CoBr
1.0
2.976 0.000 0.000
0.000 2.992 0.000
0.000 0.000 7.273
Al Co Br
2 1 1
direct
0.000 0.000 0.186
0.000 0.000 0.814
0.500 0.500 0.000
0.000 0.500 0.500
```

Formation energy (no corrections) (eV/f.u.): -0.98
Space group: Pmmm, No. 47
DOS at the Fermi energy (states/eV per cell): 1.7
E above lowest polymorph (eV per atom): 0.0000
VASP energy (eV per atom): -4.69

***

Record 4
DFT (PBEsol) results for Mn8As after structural relaxation.

Geometry as POSCAR:
```
Mn8As
1.0
-3.711 3.711 1.749
3.711 -3.711 1.749
3.711 3.711 -1.749
Mn As
8 1
direct
0.000 0.344 0.344
0.000 0.656 0.656
0.324 0.324 0.648
0.324 0.676 0.000
0.344 0.000 0.344
0.656 0.000 0.656
0.676 0.324 0.000
0.676 0.676 0.352
0.000 0.000 0.000
```

Space group: I4/mmm, No. 139
DOS at the Fermi energy (states/eV per cell): 10.6
VASP energy (eV per atom): -9.24
Formation enthalpy at 0 K (eV per atom): 0.00

***

Record 5
DFT (PBEsol) results for CaSi3Ir after structural relaxation.

Geometry as POSCAR:
```
CaSi3Ir
1.0
-2.088 2.088 4.920
2.088 -2.088 4.920
2.088 2.088 -4.920
Ca Si Ir
1 3 1
direct
0.000 0.000 0.000
0.241 0.741 0.500
0.591 0.591 0.000
0.741 0.241 0.500
0.353 0.353 0.000
```

Formation energy (no corrections) (eV/f.u.): -3.43
Space group: I4mm, No. 107
DOS at the Fermi energy (states/eV per cell): 2.0
VASP energy (eV per atom): -6.53

***

Record 6
DFT (PBEsol) results for ScTaOs2Se after structural relaxation.

Geometry as POSCAR:
```
ScTaOs2Se
1.0
4.731 0.000 0.000
0.000 4.731 0.000
0.000 0.000 4.820
Sc Ta Os Se
1 1 2 1
direct
0.000 0.000 0.000
0.500 0.500 0.500
0.000 0.500 0.500
0.500 0.000 0.500
0.500 0.500 0.000
```

Formation energy (no corrections) (eV/f.u.): 5.58
Space group: P4/mmm, No. 123
DOS at the Fermi energy (states/eV per cell): 4.5
VASP energy (eV per atom): -8.37